Here is a relaxed structure of ZrSc3Ir4 from Alexandria via LeMat-Bulk. Energies are from PBE-GGA.

calculated formation energy: -0.963 eV/atom
volume: 17.3 Å³/atom
DOS at the Fermi energy: 0.6956 states/eV per atom

abc: 4.6062 4.6062 22.5456
angles: 90.00 90.00 120.00
Space group R-3m (No. 166, hexagonal axes)
Symmetry-distinct sites (fractional):
Zr 0.0000 0.0000 0.0000 x3
Sc 0.0000 0.0000 0.2481 x6
Sc 0.0000 0.0000 0.5000 x3
Ir 0.0000 0.0000 0.1243 x6
Ir 0.0000 0.0000 0.3743 x6